Material: BeOsAu2
Method: DFT, PBEsol
State: relaxed

Properties
As for the crystal system: orthorhombic. For the formation enthalpy at 0 K, the calculation gives 252 meV/atom. As for the symmetry: Amm2 (38).

a b c (Å): 2.863 3.241 6.290
angles (deg): 90.00 103.16 90.00
Sites, in units of the cell vectors:
Os 0.595 0.500 0.190
Au 0.948 0.000 0.895
Au 0.297 0.500 0.594
Be 0.161 0.000 0.321

Material: ScAsIr3
Method: DFT, PBEsol
State: relaxed

Properties
As for the crystal system: cubic. For the formation enthalpy at 0 K, the calculation gives 1708 meV/atom. As for the symmetry: Pm-3m (221).

a b c (Å): 4.625 4.625 4.625
angles (deg): 90.00 90.00 90.00
Sites, in units of the cell vectors:
Sc 0.000 0.000 0.000
As 0.500 0.500 0.500
Ir 0.000 0.500 0.000
Ir 0.000 0.000 0.500
Ir 0.500 0.000 0.000

Material: BTe2Os
Method: DFT, PBEsol
State: relaxed

Properties
As for the crystal system: tetragonal. As for the symmetry: I-42d (122). As for the uncorrected formation energy: 764 meV/atom.

a b c (Å): 5.653 5.653 6.624
angles (deg): 115.26 115.26 90.00
Sites, in units of the cell vectors:
B 0.750 0.250 0.500
B 0.500 0.500 0.000
Te 0.411 0.875 0.250
Te 0.839 0.375 0.250
Te 0.125 0.161 0.750
Te 0.625 0.589 0.750
Os 0.250 0.750 0.500
Os 0.000 0.000 0.000

Material: TaRe3S
Method: DFT, PBEsol
State: relaxed

Properties
As for the crystal system: cubic. As for the symmetry: Pm-3m (221). As for the uncorrected formation energy: 2874 meV/atom.

a b c (Å): 4.721 4.721 4.721
angles (deg): 90.00 90.00 90.00
Sites, in units of the cell vectors:
Re 0.000 0.500 0.000
Re 0.000 0.000 0.500
Re 0.500 0.000 0.000
S 0.500 0.500 0.500
Ta 0.000 0.000 0.000

Material: Mn4AsPb
Method: DFT, PBEsol
State: relaxed

Properties
As for the crystal system: cubic. For the formation enthalpy at 0 K, the calculation gives 523 meV/atom. As for the symmetry: F-43m (216).

a b c (Å): 4.955 4.955 4.955
angles (deg): 60.00 60.00 60.00
Sites, in units of the cell vectors:
As 0.000 0.000 0.000
Mn 0.375 0.375 0.375
Mn 0.375 0.375 0.876
Mn 0.876 0.375 0.375
Mn 0.375 0.876 0.375
Pb 0.750 0.750 0.750

Material: OsRh2Au
Method: DFT, PBEsol
State: relaxed

Properties
As for the crystal system: cubic. The energy above the lowest structure with this stoichiometry is 2.15 eV/f.u. For the formation enthalpy at 0 K, the calculation gives 591 meV/atom. As for the symmetry: F-43m (216).

a b c (Å): 4.356 4.356 4.356
angles (deg): 60.00 60.00 60.00
Sites, in units of the cell vectors:
Au 0.500 0.500 0.500
Os 0.250 0.250 0.250
Rh 0.000 0.000 0.000
Rh 0.750 0.750 0.750

Material: MgZrTe2
Method: DFT, PBEsol
State: relaxed

Properties
As for the crystal system: tetragonal. As for the symmetry: P4/mmm (123). As for the uncorrected formation energy: -709 meV/atom.

a b c (Å): 3.621 3.621 7.085
angles (deg): 90.00 90.00 90.00
Sites, in units of the cell vectors:
Mg 0.500 0.500 0.500
Te 0.000 0.000 0.767
Te 0.000 0.000 0.233
Zr 0.500 0.500 0.000

Material: TlBiF2
Method: DFT, PBEsol
State: relaxed

Properties
As for the crystal system: tetragonal. As for the symmetry: I-42d (122). As for the uncorrected formation energy: -1309 meV/atom.

a b c (Å): 5.934 5.934 5.934
angles (deg): 106.65 106.65 115.27
Sites, in units of the cell vectors:
Tl 0.500 0.500 0.000
Tl 0.750 0.250 0.500
Bi 0.000 0.000 0.000
Bi 0.250 0.750 0.500
F 0.625 0.666 0.541
F 0.125 0.084 0.459
F 0.916 0.375 0.041
F 0.334 0.875 0.959

Material: Lu12In2Fe3
Method: DFT, PBEsol
State: relaxed

Properties
As for the crystal system: tetragonal. For the formation enthalpy at 0 K, the calculation gives -226 meV/atom. As for the symmetry: I4/mmm (139).

a b c (Å): 8.023 8.023 8.023
angles (deg): 108.51 108.51 111.41
Sites, in units of the cell vectors:
Lu 0.693 0.307 0.000
Lu 0.307 0.693 0.000
Lu 0.307 0.307 0.614
Lu 0.693 0.693 0.386
Lu 0.808 0.045 0.236
Lu 0.192 0.955 0.764
Lu 0.808 0.572 0.764
Lu 0.045 0.808 0.236
Lu 0.192 0.428 0.236
Lu 0.955 0.192 0.764
Lu 0.572 0.808 0.764
Lu 0.428 0.192 0.236
In 0.000 0.500 0.500
In 0.500 0.000 0.500
Fe 0.617 0.617 0.000
Fe 0.383 0.383 0.000
Fe 0.000 0.000 0.000

Material: GeH8N2OF6
Method: DFT, PBEsol
State: relaxed

Properties
As for the crystal system: orthorhombic. The calculation puts the total energy at -5.035 eV/atom. As for the symmetry: Pnma (62).

a b c (Å): 7.388 8.716 9.046
angles (deg): 90.00 90.00 90.00
Sites, in units of the cell vectors:
Ge 0.992 0.153 0.250
Ge 0.508 0.653 0.250
Ge 0.008 0.847 0.750
Ge 0.492 0.347 0.750
H 0.837 0.455 0.076
H 0.663 0.955 0.424
H 0.163 0.545 0.576
H 0.337 0.045 0.924
H 0.163 0.545 0.924
H 0.337 0.045 0.576
H 0.837 0.455 0.424
H 0.663 0.955 0.076
H 0.962 0.622 0.111
H 0.538 0.122 0.389
H 0.038 0.378 0.611
H 0.462 0.878 0.889
H 0.038 0.378 0.889
H 0.462 0.878 0.611
H 0.962 0.622 0.389
H 0.538 0.122 0.111
H 0.854 0.590 0.941
H 0.646 0.090 0.559
H 0.146 0.410 0.441
H 0.354 0.910 0.059
H 0.146 0.410 0.059
H 0.354 0.910 0.441
H 0.854 0.590 0.559
H 0.646 0.090 0.941
H 0.145 0.761 0.250
H 0.355 0.261 0.250
H 0.855 0.239 0.750
H 0.645 0.739 0.750
H 0.941 0.822 0.250
H 0.559 0.322 0.250
H 0.059 0.178 0.750
H 0.441 0.678 0.750
N 0.922 0.538 0.029
N 0.578 0.038 0.471
N 0.078 0.462 0.529
N 0.422 0.962 0.971
N 0.078 0.462 0.971
N 0.422 0.962 0.529
N 0.922 0.538 0.471
N 0.578 0.038 0.029
O 0.016 0.726 0.250
O 0.484 0.226 0.250
O 0.984 0.274 0.750
O 0.516 0.774 0.750
F 0.140 0.331 0.250
F 0.360 0.831 0.250
F 0.860 0.669 0.750
F 0.640 0.169 0.750
F 0.842 0.986 0.250
F 0.658 0.486 0.250
F 0.158 0.014 0.750
F 0.342 0.514 0.750
F 0.134 0.074 0.110
F 0.366 0.574 0.390
F 0.866 0.926 0.610
F 0.634 0.426 0.890
F 0.866 0.926 0.890
F 0.634 0.426 0.610
F 0.134 0.074 0.390
F 0.366 0.574 0.110
F 0.852 0.243 0.110
F 0.648 0.743 0.390
F 0.148 0.757 0.610
F 0.352 0.257 0.890
F 0.148 0.757 0.890
F 0.352 0.257 0.610
F 0.852 0.243 0.390
F 0.648 0.743 0.110

Material: TaCr2Cl
Method: DFT, PBEsol
State: relaxed

Properties
As for the crystal system: orthorhombic. As for the symmetry: Cmmm (65). As for the uncorrected formation energy: 389 meV/atom.

a b c (Å): 2.875 2.875 7.862
angles (deg): 90.00 90.00 115.31
Sites, in units of the cell vectors:
Cr 0.000 0.000 0.247
Cr 0.000 0.000 0.753
Cl 0.500 0.500 0.000
Ta 0.500 0.500 0.500

Material: YS2I
Method: DFT, PBEsol
State: relaxed

Properties
As for the crystal system: trigonal. The energy above the lowest structure with this stoichiometry is 0.00 eV/f.u. As for the symmetry: R-3m (166). As for the uncorrected formation energy: -1227 meV/atom.

a b c (Å): 4.108 4.108 8.265
angles (deg): 75.61 75.61 60.00
Sites, in units of the cell vectors:
I 0.000 0.000 0.000
Y 0.500 0.500 0.500
S 0.890 0.890 0.329
S 0.110 0.110 0.671

| no. | spin magnetization (μB/f.u.) |
| --- | --- |
| 1 | 0.00 |
| 2 | 0.00 |
| 3 | 0.00 |
| 4 | 0.00 |
| 5 | 8.47 |
| 6 | 0.00 |
| 7 | 0.00 |
| 8 | 0.00 |
| 9 | 0.00 |
| 10 | 0.00 |
| 11 | 2.82 |
| 12 | 0.00 |